Rb2MgCd4In3 | GGA-PBE | optimized geometry

Values from the calculation:
Raw total energy (Ry per atom): -0.117
Mass density (Mg/m³): 5.3
Formation energy (kJ per mole of atoms): -5.37

a = 4.934 Å, b = 4.934 Å, c = 12.808 Å
α = 90.00°, β = 90.00°, γ = 90.00°
Space group P-4m2 (No. 115)
Unique sites:
Rb (0.000, 0.500, 0.247) (multiplicity 2)
Mg (0.000, 0.000, 0.500) (multiplicity 1)
Cd (0.000, 0.000, 0.000) (multiplicity 1)
Cd (0.000, 0.500, 0.635) (multiplicity 2)
Cd (0.500, 0.500, 0.000) (multiplicity 1)
In (0.000, 0.500, 0.868) (multiplicity 2)
In (0.500, 0.500, 0.500) (multiplicity 1)